(1)
Entry from Alexandria: crystalline RbIn3Hg at its relaxed geometry (PBE-GGA).

The structure in CIF format:
```
data_RbIn3Hg
_cell_length_a 6.657
_cell_length_b 6.657
_cell_length_c 6.657
_cell_angle_alpha 90.00
_cell_angle_beta 90.00
_cell_angle_gamma 90.00
_space_group_name_H-M_alt 'P 1'
_space_group_IT_number 1
_space_group_name_Hall 'P 1'
loop_
_atom_site_label
_atom_site_fract_x
_atom_site_fract_y
_atom_site_fract_z
_atom_site_occupancy
Rb1 0.000 0.000 0.000 1
Hg1 0.500 0.500 0.500 1
In1 0.000 0.500 0.000 1
In2 0.000 0.000 0.500 1
In3 0.500 0.000 0.000 1
```

(2)
Entry from Alexandria: crystalline RbIn3Hg at its relaxed geometry (PBE-GGA).

The structure in CIF format:
```
data_RbIn3Hg
_cell_length_a 6.775
_cell_length_b 7.499
_cell_length_c 7.499
_cell_angle_alpha 120.00
_cell_angle_beta 90.00
_cell_angle_gamma 90.00
_space_group_name_H-M_alt 'P 1'
_space_group_IT_number 1
_space_group_name_Hall 'P 1'
loop_
_atom_site_label
_atom_site_fract_x
_atom_site_fract_y
_atom_site_fract_z
_atom_site_occupancy
In1 0.750 0.191 0.382 1
Hg1 0.500 0.000 0.000 1
Hg2 0.000 0.000 0.000 1
In2 0.250 0.809 0.618 1
Rb1 0.750 0.667 0.333 1
In3 0.750 0.618 0.809 1
In4 0.250 0.809 0.191 1
In5 0.750 0.191 0.809 1
In6 0.250 0.382 0.191 1
Rb2 0.250 0.333 0.667 1
```

(3)
Entry from Alexandria: crystalline RbIn3Hg at its relaxed geometry (PBE-GGA).

The structure in CIF format:
```
data_RbIn3Hg
_cell_length_a 5.796
_cell_length_b 5.796
_cell_length_c 5.796
_cell_angle_alpha 90.00
_cell_angle_beta 90.00
_cell_angle_gamma 90.00
_space_group_name_H-M_alt 'P 1'
_space_group_IT_number 1
_space_group_name_Hall 'P 1'
loop_
_atom_site_label
_atom_site_fract_x
_atom_site_fract_y
_atom_site_fract_z
_atom_site_occupancy
In1 0.500 0.000 0.000 1
In2 0.000 0.500 0.000 1
Rb1 0.500 0.500 0.500 1
Hg1 0.000 0.000 0.000 1
In3 0.000 0.000 0.500 1
```

(2) is preferred energetically. Next in line: 160 meV/atom higher.

(1)
Entry from Alexandria: crystalline RbIn3Hg3 at its relaxed geometry (PBE-GGA).

The structure in CIF format:
```
data_RbIn3Hg3
_cell_length_a 5.874
_cell_length_b 9.322
_cell_length_c 9.322
_cell_angle_alpha 120.00
_cell_angle_beta 90.00
_cell_angle_gamma 90.00
_space_group_name_H-M_alt 'P 1'
_space_group_IT_number 1
_space_group_name_Hall 'P 1'
loop_
_atom_site_label
_atom_site_fract_x
_atom_site_fract_y
_atom_site_fract_z
_atom_site_occupancy
Rb1 0.250 0.333 0.667 1
In1 0.750 0.113 0.228 1
In2 0.250 0.885 0.113 1
In3 0.750 0.115 0.887 1
Hg1 0.250 0.913 0.456 1
Hg2 0.250 0.544 0.457 1
Hg3 0.750 0.087 0.544 1
Hg4 0.750 0.457 0.913 1
In4 0.750 0.772 0.885 1
In5 0.250 0.887 0.772 1
Hg5 0.750 0.456 0.543 1
Hg6 0.250 0.543 0.087 1
Rb2 0.750 0.667 0.333 1
In6 0.250 0.228 0.115 1
```

(2)
Entry from Alexandria: crystalline RbIn3Hg3 at its relaxed geometry (PBE-GGA).

The structure in CIF format:
```
data_RbIn3Hg3
_cell_length_a 8.133
_cell_length_b 8.133
_cell_length_c 8.133
_cell_angle_alpha 90.00
_cell_angle_beta 90.00
_cell_angle_gamma 90.00
_space_group_name_H-M_alt 'P 1'
_space_group_IT_number 1
_space_group_name_Hall 'P 1'
loop_
_atom_site_label
_atom_site_fract_x
_atom_site_fract_y
_atom_site_fract_z
_atom_site_occupancy
In1 0.250 0.500 0.000 1
Hg1 0.000 0.500 0.250 1
In2 0.500 0.000 0.750 1
Rb1 0.000 0.000 0.000 1
In3 0.000 0.750 0.500 1
In4 0.500 0.000 0.250 1
Hg2 0.500 0.750 0.000 1
In5 0.000 0.250 0.500 1
Rb2 0.500 0.500 0.500 1
Hg3 0.750 0.000 0.500 1
Hg4 0.500 0.250 0.000 1
In6 0.750 0.500 0.000 1
Hg5 0.000 0.500 0.750 1
Hg6 0.250 0.000 0.500 1
```

(3)
Entry from Alexandria: crystalline RbIn3Hg3 at its relaxed geometry (PBE-GGA).

The structure in CIF format:
```
data_RbIn3Hg3
_cell_length_a 8.624
_cell_length_b 8.624
_cell_length_c 8.399
_cell_angle_alpha 59.11
_cell_angle_beta 59.11
_cell_angle_gamma 60.00
_space_group_name_H-M_alt 'P 1'
_space_group_IT_number 1
_space_group_name_Hall 'P 1'
loop_
_atom_site_label
_atom_site_fract_x
_atom_site_fract_y
_atom_site_fract_z
_atom_site_occupancy
In1 0.690 0.690 0.554 1
Hg1 0.673 0.078 0.171 1
In2 0.310 0.934 0.446 1
Hg2 0.327 0.922 0.829 1
Hg3 0.078 0.673 0.171 1
In3 0.310 0.310 0.446 1
Hg4 0.922 0.327 0.829 1
Hg5 0.922 0.922 0.829 1
In4 0.934 0.310 0.446 1
In5 0.690 0.066 0.554 1
Hg6 0.078 0.078 0.171 1
In6 0.066 0.690 0.554 1
Rb1 0.378 0.378 0.867 1
Rb2 0.622 0.622 0.133 1
```

(3) is preferred energetically. Next in line: 17 meV/atom higher.

(1)
Entry from Alexandria: crystalline RbIn2Hg9 at its relaxed geometry (PBE-GGA).

The structure in CIF format:
```
data_RbIn2Hg9
_cell_length_a 8.332
_cell_length_b 10.040
_cell_length_c 10.040
_cell_angle_alpha 80.09
_cell_angle_beta 65.49
_cell_angle_gamma 65.49
_space_group_name_H-M_alt 'P 1'
_space_group_IT_number 1
_space_group_name_Hall 'P 1'
loop_
_atom_site_label
_atom_site_fract_x
_atom_site_fract_y
_atom_site_fract_z
_atom_site_occupancy
Hg1 0.157 0.180 0.420 1
Hg2 0.662 0.180 0.580 1
Hg3 0.758 0.820 0.580 1
Hg4 0.750 0.500 0.500 1
In1 0.875 0.750 0.250 1
Hg5 0.157 0.420 0.180 1
Hg6 0.423 0.820 0.420 1
In2 0.875 0.250 0.250 1
Hg7 0.992 0.680 0.920 1
In3 0.375 0.750 0.750 1
Rb1 0.500 0.000 0.000 1
Hg8 0.758 0.580 0.820 1
Hg9 0.000 0.000 0.000 1
Hg10 0.327 0.080 0.680 1
Rb2 0.250 0.500 0.500 1
Hg11 0.423 0.420 0.820 1
Hg12 0.992 0.920 0.680 1
Hg13 0.662 0.580 0.180 1
Hg14 0.593 0.080 0.320 1
Hg15 0.088 0.920 0.320 1
Hg16 0.327 0.680 0.080 1
Hg17 0.088 0.320 0.920 1
In4 0.875 0.250 0.750 1
Hg18 0.593 0.320 0.080 1
```

(2)
Entry from Alexandria: crystalline RbIn2Hg9 at its relaxed geometry (PBE-GGA).

The structure in CIF format:
```
data_RbIn2Hg9
_cell_length_a 3.513
_cell_length_b 10.646
_cell_length_c 10.646
_cell_angle_alpha 120.00
_cell_angle_beta 90.00
_cell_angle_gamma 90.00
_space_group_name_H-M_alt 'P 1'
_space_group_IT_number 1
_space_group_name_Hall 'P 1'
loop_
_atom_site_label
_atom_site_fract_x
_atom_site_fract_y
_atom_site_fract_z
_atom_site_occupancy
Rb1 0.000 0.000 0.000 1
Hg1 0.000 0.500 0.500 1
Hg2 0.000 0.000 0.500 1
Hg3 0.500 0.823 0.646 1
Hg4 0.500 0.646 0.823 1
In1 0.000 0.667 0.333 1
Hg5 0.500 0.823 0.177 1
Hg6 0.000 0.500 0.000 1
Hg7 0.500 0.354 0.177 1
Hg8 0.500 0.177 0.823 1
Hg9 0.500 0.177 0.354 1
In2 0.000 0.333 0.667 1
```

(1) is preferred energetically. Next in line: 11 meV/atom higher.

(1)
Entry from Alexandria: crystalline RbInHg3 at its relaxed geometry (PBE-GGA).

The structure in CIF format:
```
data_RbInHg3
_cell_length_a 3.796
_cell_length_b 5.236
_cell_length_c 16.002
_cell_angle_alpha 90.00
_cell_angle_beta 96.81
_cell_angle_gamma 90.00
_space_group_name_H-M_alt 'P 1'
_space_group_IT_number 1
_space_group_name_Hall 'P 1'
loop_
_atom_site_label
_atom_site_fract_x
_atom_site_fract_y
_atom_site_fract_z
_atom_site_occupancy
In1 0.219 0.750 0.437 1
Hg1 0.313 0.750 0.627 1
Hg2 0.687 0.250 0.373 1
In2 0.781 0.250 0.563 1
Hg3 0.633 0.750 0.265 1
Hg4 0.474 0.250 0.948 1
Rb1 0.081 0.250 0.161 1
Rb2 0.919 0.750 0.839 1
Hg5 0.526 0.750 0.052 1
Hg6 0.367 0.250 0.735 1
```

(2)
Entry from Alexandria: crystalline RbInHg3 at its relaxed geometry (PBE-GGA).

The structure in CIF format:
```
data_RbInHg3
_cell_length_a 6.435
_cell_length_b 6.435
_cell_length_c 6.435
_cell_angle_alpha 90.00
_cell_angle_beta 90.00
_cell_angle_gamma 90.00
_space_group_name_H-M_alt 'P 1'
_space_group_IT_number 1
_space_group_name_Hall 'P 1'
loop_
_atom_site_label
_atom_site_fract_x
_atom_site_fract_y
_atom_site_fract_z
_atom_site_occupancy
Rb1 0.000 0.000 0.000 1
Hg1 0.000 0.500 0.000 1
Hg2 0.000 0.000 0.500 1
In1 0.500 0.500 0.500 1
Hg3 0.500 0.000 0.000 1
```

(1) is preferred energetically. Next in line: 512 meV/atom higher.

(1)
Entry from Alexandria: crystalline RbInHg3 at its relaxed geometry (PBE-GGA).

The structure in CIF format:
```
data_RbInHg3
_cell_length_a 7.657
_cell_length_b 7.657
_cell_length_c 14.024
_cell_angle_alpha 90.00
_cell_angle_beta 90.00
_cell_angle_gamma 120.00
_space_group_name_H-M_alt 'P 1'
_space_group_IT_number 1
_space_group_name_Hall 'P 1'
loop_
_atom_site_label
_atom_site_fract_x
_atom_site_fract_y
_atom_site_fract_z
_atom_site_occupancy
Hg1 0.265 0.133 0.250 1
Hg2 0.000 0.500 0.000 1
In1 0.333 0.667 0.863 1
Hg3 0.500 0.000 0.500 1
Hg4 0.867 0.735 0.250 1
Hg5 0.500 0.500 0.500 1
In2 0.667 0.333 0.363 1
In3 0.667 0.333 0.137 1
Rb1 0.667 0.333 0.750 1
In4 0.333 0.667 0.637 1
Hg6 0.133 0.265 0.750 1
Hg7 0.133 0.867 0.750 1
Rb2 0.000 0.000 0.500 1
Hg8 0.735 0.867 0.750 1
Rb3 0.333 0.667 0.250 1
Rb4 0.000 0.000 0.000 1
Hg9 0.867 0.133 0.250 1
Hg10 0.500 0.000 0.000 1
Hg11 0.500 0.500 0.000 1
Hg12 0.000 0.500 0.500 1
```

(2)
Entry from Alexandria: crystalline RbInHg3 at its relaxed geometry (PBE-GGA).

The structure in CIF format:
```
data_RbInHg3
_cell_length_a 5.754
_cell_length_b 5.754
_cell_length_c 5.754
_cell_angle_alpha 90.00
_cell_angle_beta 90.00
_cell_angle_gamma 90.00
_space_group_name_H-M_alt 'P 1'
_space_group_IT_number 1
_space_group_name_Hall 'P 1'
loop_
_atom_site_label
_atom_site_fract_x
_atom_site_fract_y
_atom_site_fract_z
_atom_site_occupancy
Hg1 0.500 0.000 0.000 1
Hg2 0.000 0.000 0.500 1
Rb1 0.500 0.500 0.500 1
In1 0.000 0.000 0.000 1
Hg3 0.000 0.500 0.000 1
```

(1) is preferred energetically. Next in line: 50 meV/atom higher.

(1)
Entry from Alexandria: crystalline RbInHg4 at its relaxed geometry (PBE-GGA).

The structure in CIF format:
```
data_RbInHg4
_cell_length_a 5.256
_cell_length_b 7.559
_cell_length_c 10.081
_cell_angle_alpha 90.00
_cell_angle_beta 105.11
_cell_angle_gamma 90.00
_space_group_name_H-M_alt 'P 1'
_space_group_IT_number 1
_space_group_name_Hall 'P 1'
loop_
_atom_site_label
_atom_site_fract_x
_atom_site_fract_y
_atom_site_fract_z
_atom_site_occupancy
Hg1 0.500 0.500 0.000 1
Hg2 0.326 0.050 0.651 1
Hg3 0.500 0.000 0.000 1
Hg4 0.934 0.250 0.867 1
Hg5 0.326 0.450 0.651 1
Rb1 0.115 0.250 0.231 1
Hg6 0.066 0.750 0.133 1
Hg7 0.674 0.950 0.349 1
In1 0.226 0.750 0.452 1
In2 0.774 0.250 0.548 1
Rb2 0.885 0.750 0.769 1
Hg8 0.674 0.550 0.349 1
```

(2)
Entry from Alexandria: crystalline RbInHg4 at its relaxed geometry (PBE-GGA).

The structure in CIF format:
```
data_RbInHg4
_cell_length_a 6.380
_cell_length_b 6.380
_cell_length_c 6.380
_cell_angle_alpha 60.00
_cell_angle_beta 60.00
_cell_angle_gamma 60.00
_space_group_name_H-M_alt 'P 1'
_space_group_IT_number 1
_space_group_name_Hall 'P 1'
loop_
_atom_site_label
_atom_site_fract_x
_atom_site_fract_y
_atom_site_fract_z
_atom_site_occupancy
Hg1 0.625 0.625 0.124 1
Hg2 0.124 0.625 0.625 1
Hg3 0.625 0.625 0.625 1
Hg4 0.625 0.124 0.625 1
Rb1 0.250 0.250 0.250 1
In1 0.000 0.000 0.000 1
```

(1) is preferred energetically. Next in line: 54 meV/atom higher.

(1)
Entry from Alexandria: crystalline RbIn12Hg6 at its relaxed geometry (PBE-GGA).

The structure in CIF format:
```
data_RbIn12Hg6
_cell_length_a 8.737
_cell_length_b 8.737
_cell_length_c 8.737
_cell_angle_alpha 106.64
_cell_angle_beta 106.64
_cell_angle_gamma 106.64
_space_group_name_H-M_alt 'P 1'
_space_group_IT_number 1
_space_group_name_Hall 'P 1'
loop_
_atom_site_label
_atom_site_fract_x
_atom_site_fract_y
_atom_site_fract_z
_atom_site_occupancy
Hg1 0.766 0.274 0.274 1
Hg2 0.274 0.766 0.274 1
In1 0.190 0.423 0.423 1
Hg3 0.726 0.234 0.726 1
Rb1 0.000 0.000 0.000 1
In2 0.500 0.109 0.891 1
Hg4 0.234 0.726 0.726 1
In3 0.423 0.423 0.190 1
In4 0.500 0.891 0.109 1
In5 0.109 0.891 0.500 1
In6 0.423 0.190 0.423 1
Hg5 0.274 0.274 0.766 1
In7 0.810 0.577 0.577 1
In8 0.891 0.109 0.500 1
In9 0.891 0.500 0.109 1
In10 0.577 0.810 0.577 1
In11 0.109 0.500 0.891 1
In12 0.577 0.577 0.810 1
Hg6 0.726 0.726 0.234 1
```

(2)
Entry from Alexandria: crystalline RbIn12Hg6 at its relaxed geometry (PBE-GGA).

The structure in CIF format:
```
data_RbIn12Hg6
_cell_length_a 9.257
_cell_length_b 9.257
_cell_length_c 9.257
_cell_angle_alpha 109.31
_cell_angle_beta 109.31
_cell_angle_gamma 109.31
_space_group_name_H-M_alt 'P 1'
_space_group_IT_number 1
_space_group_name_Hall 'P 1'
loop_
_atom_site_label
_atom_site_fract_x
_atom_site_fract_y
_atom_site_fract_z
_atom_site_occupancy
Hg1 0.164 0.164 0.477 1
In1 0.494 0.494 0.168 1
In2 0.844 0.500 0.156 1
Hg2 0.836 0.836 0.523 1
In3 0.506 0.832 0.506 1
In4 0.844 0.156 0.500 1
In5 0.156 0.500 0.844 1
In6 0.500 0.156 0.844 1
Hg3 0.164 0.477 0.164 1
Hg4 0.523 0.836 0.836 1
In7 0.832 0.506 0.506 1
In8 0.500 0.844 0.156 1
In9 0.506 0.506 0.832 1
In10 0.494 0.168 0.494 1
In11 0.168 0.494 0.494 1
In12 0.156 0.844 0.500 1
Rb1 0.000 0.000 0.000 1
Hg5 0.477 0.164 0.164 1
Hg6 0.836 0.523 0.836 1
```

(1) is preferred energetically. Next in line: 30 meV/atom higher.

(1)
Entry from Alexandria: crystalline RbIn2Hg3 at its relaxed geometry (PBE-GGA).

The structure in CIF format:
```
data_RbIn2Hg3
_cell_length_a 7.052
_cell_length_b 7.435
_cell_length_c 7.435
_cell_angle_alpha 100.67
_cell_angle_beta 90.00
_cell_angle_gamma 90.00
_space_group_name_H-M_alt 'P 1'
_space_group_IT_number 1
_space_group_name_Hall 'P 1'
loop_
_atom_site_label
_atom_site_fract_x
_atom_site_fract_y
_atom_site_fract_z
_atom_site_occupancy
In1 0.000 0.787 0.213 1
Hg1 0.250 0.545 0.861 1
In2 0.000 0.213 0.787 1
Rb1 0.750 0.667 0.667 1
Hg2 0.750 0.139 0.455 1
In3 0.500 0.787 0.213 1
Hg3 0.750 0.455 0.139 1
Hg4 0.750 0.044 0.044 1
Hg5 0.250 0.861 0.545 1
In4 0.500 0.213 0.787 1
Rb2 0.250 0.333 0.333 1
Hg6 0.250 0.956 0.956 1
```

(2)
Entry from Alexandria: crystalline RbIn2Hg3 at its relaxed geometry (PBE-GGA).

The structure in CIF format:
```
data_RbIn2Hg3
_cell_length_a 4.986
_cell_length_b 4.986
_cell_length_c 18.232
_cell_angle_alpha 90.00
_cell_angle_beta 90.00
_cell_angle_gamma 120.00
_space_group_name_H-M_alt 'P 1'
_space_group_IT_number 1
_space_group_name_Hall 'P 1'
loop_
_atom_site_label
_atom_site_fract_x
_atom_site_fract_y
_atom_site_fract_z
_atom_site_occupancy
In1 0.333 0.667 0.935 1
Hg1 0.667 0.333 0.631 1
Hg2 0.333 0.667 0.131 1
In2 0.667 0.333 0.065 1
In3 0.667 0.333 0.435 1
Rb1 0.000 0.000 0.750 1
In4 0.333 0.667 0.565 1
Hg3 0.333 0.667 0.369 1
Hg4 0.667 0.333 0.869 1
Hg5 0.000 0.000 0.500 1
Hg6 0.000 0.000 0.000 1
Rb2 0.000 0.000 0.250 1
```

(2) is preferred energetically. Next in line: 14 meV/atom higher.